No. 1
Material: CsRb2SnCl
Method: DFT, GGA-PBEsol
State: relaxed

The structure in CIF format:
```
data_CsRb2SnCl
_cell_length_a 5.775
_cell_length_b 7.171
_cell_length_c 7.171
_cell_angle_alpha 90.00
_cell_angle_beta 90.00
_cell_angle_gamma 90.00
_symmetry_space_group_name_H-M 'P 1'
_symmetry_Int_Tables_number 1
loop_
_symmetry_equiv_pos_as_xyz
'x,y,z'
loop_
_atom_site_label
_atom_site_fract_x
_atom_site_fract_y
_atom_site_fract_z
Sn1 0.000 0.000 0.000
Rb1 0.000 0.000 0.500
Rb2 0.000 0.500 0.000
Cl1 0.500 0.000 0.000
Cs1 0.500 0.500 0.500
```

Crystal system = tetragonal
Raw formation energy = -237 meV per atom
Space-group type = P4/mmm (123)


No. 2
Material: Cs2RbTbCl6
Method: DFT, GGA-PBEsol
State: relaxed

The structure in CIF format:
```
data_Cs2RbTbCl6
_cell_length_a 8.015
_cell_length_b 8.015
_cell_length_c 8.015
_cell_angle_alpha 60.00
_cell_angle_beta 60.00
_cell_angle_gamma 60.00
_symmetry_space_group_name_H-M 'P 1'
_symmetry_Int_Tables_number 1
loop_
_symmetry_equiv_pos_as_xyz
'x,y,z'
loop_
_atom_site_label
_atom_site_fract_x
_atom_site_fract_y
_atom_site_fract_z
Cl1 0.769 0.231 0.231
Cl2 0.231 0.769 0.231
Cl3 0.231 0.769 0.769
Cl4 0.231 0.231 0.769
Cl5 0.769 0.769 0.231
Cl6 0.769 0.231 0.769
Cs1 0.750 0.750 0.750
Cs2 0.250 0.250 0.250
Tb1 0.000 0.000 0.000
Rb1 0.500 0.500 0.500
```

Crystal system = cubic
Raw formation energy = -2122 meV per atom
Space-group type = Fm-3m (225)


No. 3
Material: CsRb2TbCl6
Method: DFT, GGA-PBEsol
State: relaxed

The structure in CIF format:
```
data_CsRb2TbCl6
_cell_length_a 8.214
_cell_length_b 8.214
_cell_length_c 8.214
_cell_angle_alpha 60.00
_cell_angle_beta 60.00
_cell_angle_gamma 60.00
_symmetry_space_group_name_H-M 'P 1'
_symmetry_Int_Tables_number 1
loop_
_symmetry_equiv_pos_as_xyz
'x,y,z'
loop_
_atom_site_label
_atom_site_fract_x
_atom_site_fract_y
_atom_site_fract_z
Rb1 0.750 0.750 0.750
Rb2 0.250 0.250 0.250
Cl1 0.775 0.775 0.225
Cl2 0.225 0.775 0.225
Cl3 0.225 0.775 0.775
Cl4 0.775 0.225 0.225
Cl5 0.775 0.225 0.775
Cl6 0.225 0.225 0.775
Cs1 0.500 0.500 0.500
Tb1 0.000 0.000 0.000
```

Crystal system = cubic
Raw formation energy = -2035 meV per atom
Space-group type = Fm-3m (225)


No. 4
Material: Cs2RbTmCl6
Method: DFT, GGA-PBEsol
State: relaxed

The structure in CIF format:
```
data_Cs2RbTmCl6
_cell_length_a 7.944
_cell_length_b 7.944
_cell_length_c 7.944
_cell_angle_alpha 60.00
_cell_angle_beta 60.00
_cell_angle_gamma 60.00
_symmetry_space_group_name_H-M 'P 1'
_symmetry_Int_Tables_number 1
loop_
_symmetry_equiv_pos_as_xyz
'x,y,z'
loop_
_atom_site_label
_atom_site_fract_x
_atom_site_fract_y
_atom_site_fract_z
Cl1 0.228 0.772 0.228
Cl2 0.772 0.228 0.228
Cl3 0.228 0.772 0.772
Cl4 0.228 0.228 0.772
Cl5 0.772 0.228 0.772
Cl6 0.772 0.772 0.228
Cs1 0.750 0.750 0.750
Cs2 0.250 0.250 0.250
Tm1 0.000 0.000 0.000
Rb1 0.500 0.500 0.500
```

Crystal system = cubic
Raw formation energy = -2133 meV per atom
Space-group type = Fm-3m (225)


Copy entry 4 word for word.
Material: Cs2RbTmCl6
Method: DFT, GGA-PBEsol
State: relaxed

The structure in CIF format:
```
data_Cs2RbTmCl6
_cell_length_a 7.944
_cell_length_b 7.944
_cell_length_c 7.944
_cell_angle_alpha 60.00
_cell_angle_beta 60.00
_cell_angle_gamma 60.00
_symmetry_space_group_name_H-M 'P 1'
_symmetry_Int_Tables_number 1
loop_
_symmetry_equiv_pos_as_xyz
'x,y,z'
loop_
_atom_site_label
_atom_site_fract_x
_atom_site_fract_y
_atom_site_fract_z
Cl1 0.228 0.772 0.228
Cl2 0.772 0.228 0.228
Cl3 0.228 0.772 0.772
Cl4 0.228 0.228 0.772
Cl5 0.772 0.228 0.772
Cl6 0.772 0.772 0.228
Cs1 0.750 0.750 0.750
Cs2 0.250 0.250 0.250
Tm1 0.000 0.000 0.000
Rb1 0.500 0.500 0.500
```

Crystal system = cubic
Raw formation energy = -2133 meV per atom
Space-group type = Fm-3m (225)


Question: Among the records above, which one has the highest raw formation energy?
Answer: CsRb2SnCl